1.
Compound: CaPmIn2
Source: Alexandria via LeMat-Bulk
Functional: PBE
Structure: relaxed

space group = Cmmm
DFT total energy = -3.54 eV/atom

Unit cell a=5.4498 b=5.4498 c=3.8606 alpha=90.00 beta=90.00 gamma=90.10
Last column: nearest neighbours and their distance in Å.
Element x y z (fractional)
Ca  0.0000  0.0000  0.0000  8 In 3.34
Pm  0.5000  0.5000  0.0000  8 In 3.34
In  0.0000  0.5000  0.5000  4 Ca 3.34, 4 Pm 3.34
In  0.5000  0.0000  0.5000  4 Ca 3.34, 4 Pm 3.34

---

2.
Compound: ZrAl2Hg
Source: Alexandria via LeMat-Bulk
Functional: PBE
Structure: relaxed

space group = F-43m
DFT total energy = -3.96 eV/atom

Unit cell a=4.8178 b=4.8178 c=4.8178 alpha=60.00 beta=60.00 gamma=60.00
Last column: nearest neighbours and their distance in Å.
Element x y z (fractional)
Zr  0.0000  0.0000  0.0000  4 Hg 2.95, 4 Al 2.95
Al  0.5000  0.5000  0.5000  4 Hg 2.95, 4 Al 2.95
Al  0.7500  0.7500  0.7500  4 Zr 2.95, 4 Al 2.95
Hg  0.2500  0.2500  0.2500  4 Zr 2.95, 4 Al 2.95

---

| no. | N(E_F) (states/eV per cell) | ΔH_f (0 K) (eV/atom) |
| --- | --- | --- |
| 1 | 2.35 | -0.479 |
| 2 | 4.36 | 0.127 |